The following is a GGA-PBE calculation of Rb2U3AlO12 after structural relaxation, from the Alexandria database.

abc: 7.3964 7.3964 7.3964
angles: 64.72 64.72 64.72
With the nearest neighbours (Å) after each atom.
Sites, in units of the cell vectors:
Rb 0.6289 0.6289 0.6289  9 O 3.30-3.51
Rb 0.3711 0.3711 0.3711  9 O 3.30-3.51
U 0.5000 0.0000 0.0000  6 O 1.97-2.14
U 0.0000 0.5000 0.0000  6 O 1.97-2.14
U 0.0000 0.0000 0.5000  6 O 1.97-2.14
Al 0.0000 0.0000 0.0000  6 O 1.91
O 0.3252 0.3252 0.9401  2 U 2.14
O 0.9456 0.9456 0.2925  1 Al 1.91, 1 U 1.97
O 0.2925 0.9456 0.9456  1 Al 1.91, 1 U 1.97
O 0.9401 0.3252 0.3252  2 U 2.14
O 0.9456 0.2925 0.9456  1 Al 1.91, 1 U 1.97
O 0.3252 0.9401 0.3252  2 U 2.14
O 0.6748 0.6748 0.0599  2 U 2.14
O 0.0544 0.0544 0.7075  1 Al 1.91, 1 U 1.97
O 0.7075 0.0544 0.0544  1 Al 1.91, 1 U 1.97
O 0.0599 0.6748 0.6748  2 U 2.14
O 0.0544 0.7075 0.0544  1 Al 1.91, 1 U 1.97
O 0.6748 0.0599 0.6748  2 U 2.14

The calculation puts the total magnetization at 0.000 μB/f.u. The formation energy from raw total energies is -2794 meV per atom. The density of states at the Fermi level is 12.3 states/eV per cell.

The following is a GGA-PBE calculation of Rb2UAl2O6 after structural relaxation, from the Alexandria database.

abc: 5.9309 5.9309 7.1244
angles: 65.40 65.40 60.00
With the nearest neighbours (Å) after each atom.
Sites, in units of the cell vectors:
Rb 0.7793 0.7793 0.6622  9 O 3.10-3.40, 3 Al 3.44
Rb 0.2207 0.2207 0.3378  9 O 3.10-3.40, 3 Al 3.44
U 0.0000 0.0000 0.0000  6 O 2.11
Al 0.4297 0.4297 0.7108  3 O 1.80
Al 0.5703 0.5703 0.2892  3 O 1.80
O 0.7674 0.7674 0.1941  1 Al 1.80
O 0.2711 0.7674 0.1941  1 Al 1.80
O 0.7674 0.2711 0.1941  1 Al 1.80
O 0.2326 0.7289 0.8059  1 Al 1.80
O 0.7289 0.2326 0.8059  1 Al 1.80
O 0.2326 0.2326 0.8059  1 Al 1.80

The calculation puts the total magnetization at 0.036 μB/f.u. The formation energy from raw total energies is -2546 meV per atom. The density of states at the Fermi level is 0.8 states/eV per cell.